# 1
Entry from Alexandria: a geometry-optimized SrTa3Hg structure (PBE-GGA).

Output
E: -23.31 eV for the cell shown
Magnetic moment: 0.00 μB per atom

Unit cell a=4.9020 b=4.9020 c=4.9020 alpha=90.00 beta=90.00 gamma=90.00
Sites, in units of the cell vectors:
Sr: 0.0000 0.0000 0.0000
Ta: 0.0000 0.0000 0.5000
Ta: 0.0000 0.5000 0.0000
Ta: 0.5000 0.0000 0.0000
Hg: 0.5000 0.5000 0.5000

# 2
Entry from Alexandria: a geometry-optimized Sr2TaHg structure (PBE-GGA).

Output
E: -23.02 eV for the cell shown
Magnetic moment: 0.28 μB per atom

Unit cell a=11.7180 b=11.7180 c=11.7180 alpha=157.54 beta=157.54 gamma=31.97
Sites, in units of the cell vectors:
Sr: 0.1219 0.6250 0.9969
Sr: 0.3750 0.3719 0.4969
Sr: 0.6281 0.1250 0.0031
Sr: 0.8750 0.8781 0.5031
Ta: 0.2500 0.7500 0.5000
Ta: 0.5000 0.5000 0.0000
Hg: 0.0000 0.0000 0.0000
Hg: 0.7500 0.2500 0.5000

What is the magnetic moment in the first record?
0.00 μB per atom

What is the formula in the second record?
Sr2TaHg

Repeat the second record exactly.
Entry from Alexandria: a geometry-optimized Sr2TaHg structure (PBE-GGA).

Output
E: -23.02 eV for the cell shown
Magnetic moment: 0.28 μB per atom

Unit cell a=11.7180 b=11.7180 c=11.7180 alpha=157.54 beta=157.54 gamma=31.97
Sites, in units of the cell vectors:
Sr: 0.1219 0.6250 0.9969
Sr: 0.3750 0.3719 0.4969
Sr: 0.6281 0.1250 0.0031
Sr: 0.8750 0.8781 0.5031
Ta: 0.2500 0.7500 0.5000
Ta: 0.5000 0.5000 0.0000
Hg: 0.0000 0.0000 0.0000
Hg: 0.7500 0.2500 0.5000

Which formula does entry 1 have?
SrTa3Hg